SiTeIr2 | PBE-GGA | relaxed

Computed properties:
Density = 12.9 g/cm³
Total magnetic moment = 0.0 μB/cell
D(E_F) = 0.73 states/eV per atom
Formation energy (no corrections) = 0.3332 eV per atom
Energy relative to the lowest polymorph listed for this composition = 0.537 eV per atom

Cell: 5.438 5.438 5.438 Å, 147.52 125.43 64.96°
Positions (direct):
Ir 0.946 0.946 0.000
Te 0.250 0.750 0.500
Ir 0.554 0.554 0.000
Si 0.750 0.250 0.500